Entry from Alexandria via LeMat-Bulk: crystalline Ce3Zn2Au4 at its relaxed geometry (PBE).

## Properties
formation energy: -14.6 kcal/mol of atoms
crystal system: monoclinic
Fermi-level density of states: 16.4 states/eV/f.u.
electronic total energy: -39.142 eV/cell
space-group type: C2/m

abc: 5.847 5.847 8.836
angles: 115.07 115.07 47.41
Fractional coordinates of all 9 atoms:
Ce (0.000, 0.000, 0.000)
Ce (0.347, 0.347, 0.329)
Ce (0.653, 0.653, 0.671)
Zn (0.367, 0.367, 0.698)
Zn (0.633, 0.633, 0.302)
Au (0.072, 0.072, 0.394)
Au (0.283, 0.283, 0.935)
Au (0.717, 0.717, 0.065)
Au (0.928, 0.928, 0.606)

***

Entry from Alexandria via LeMat-Bulk: crystalline Ce2Zn3Au2 at its relaxed geometry (PBE).

## Properties
formation energy: -10.9 kcal/mol of atoms
crystal system: monoclinic
Fermi-level density of states: 12.3 states/eV/f.u.
electronic total energy: -25.564 eV/cell
space-group type: C2/m

abc: 5.548 5.548 6.719
angles: 107.91 107.91 48.92
Fractional coordinates of all 7 atoms:
Ce (0.145, 0.145, 0.267)
Ce (0.855, 0.855, 0.733)
Zn (0.402, 0.402, 0.082)
Zn (0.500, 0.500, 0.500)
Zn (0.598, 0.598, 0.918)
Au (0.156, 0.156, 0.738)
Au (0.844, 0.844, 0.262)

***

Entry from Alexandria via LeMat-Bulk: crystalline CeZnAu2 at its relaxed geometry (PBE).

## Properties
formation energy: -9.8 kcal/mol of atoms
crystal system: orthorhombic
Fermi-level density of states: 8.0 states/eV/f.u.
electronic total energy: -30.935 eV/cell
space-group type: Cmcm

abc: 6.140 6.140 5.276
angles: 90.00 90.00 109.40
Fractional coordinates of all 8 atoms:
Ce (0.187, 0.813, 0.750)
Ce (0.813, 0.187, 0.250)
Zn (0.500, 0.500, 0.000)
Zn (0.500, 0.500, 0.500)
Au (0.106, 0.291, 0.750)
Au (0.291, 0.106, 0.250)
Au (0.709, 0.894, 0.750)
Au (0.894, 0.709, 0.250)

***

Entry from Alexandria via LeMat-Bulk: crystalline CeZnAu at its relaxed geometry (PBE).

## Properties
formation energy: -13.0 kcal/mol of atoms
crystal system: hexagonal
Fermi-level density of states: 5.5 states/eV/f.u.
electronic total energy: -12.180 eV/cell
space-group type: P-6m2

abc: 4.667 4.667 3.439
angles: 90.00 90.00 120.00
Fractional coordinates of all 3 atoms:
Ce (0.000, 0.000, 0.000)
Zn (0.333, 0.667, 0.500)
Au (0.667, 0.333, 0.500)